The following is a DFT calculation (PBE-GGA) of Rb2CePm2O6 after structural relaxation.

Results
Formation energy without anion corrections, kJ/mol of atoms: -272.1
Uncorrected energy, eV/atom: -7.104
Total magnetic moment, μB/cell: 0.0

CIF file:
```
data_Rb2CePm2O6
_chemical_formula_sum 'Rb4 Ce2 Pm4 O12'
_cell_length_a 6.243
_cell_length_b 10.792
_cell_length_c 6.993
_cell_angle_alpha 90.00
_cell_angle_beta 107.05
_cell_angle_gamma 90.00
_symmetry_space_group_name_H-M 'C 1 2/m 1'
_symmetry_Int_Tables_number 12
_symmetry_space_group_name_Hall '-C 2y'
loop_
_atom_site_label
_atom_site_type_symbol
_atom_site_fract_x
_atom_site_fract_y
_atom_site_fract_z
_atom_site_occupancy
Rb1 Rb 0.000 0.167 0.000 1
Ce1 Ce 0.000 0.000 0.500 1
Pm1 Pm 0.000 0.334 0.500 1
O1 O 0.213 0.165 0.666 1
O2 O 0.241 0.500 0.666 1
```



The following is a DFT calculation (PBE-GGA) of Rb4CePm3O8 after structural relaxation.

Results
Formation energy without anion corrections, kJ/mol of atoms: -248.6
Uncorrected energy, eV/atom: -6.560
Total magnetic moment, μB/cell: 2.8

CIF file:
```
data_Rb4CePm3O8
_chemical_formula_sum 'Rb12 Ce3 Pm9 O24'
_cell_length_a 7.2919
_cell_length_b 7.2919
_cell_length_c 19.7913
_cell_angle_alpha 90.00
_cell_angle_beta 90.00
_cell_angle_gamma 120.00
_symmetry_space_group_name_H-M 'R -3 m'
_symmetry_Int_Tables_number 166
_symmetry_space_group_name_Hall '-R 3 2"'
loop_
_atom_site_label
_atom_site_type_symbol
_atom_site_fract_x
_atom_site_fract_y
_atom_site_fract_z
_atom_site_occupancy
Rb1 Rb 0.0000 0.0000 0.0000 1
Rb2 Rb 0.0000 0.5000 0.0000 1
Ce1 Ce 0.0000 0.0000 0.5000 1
Pm1 Pm 0.0000 0.5000 0.5000 1
O1 O 0.0000 0.0000 0.2264 1
O2 O 0.0002 0.5001 0.2262 1
```



The following is a DFT calculation (PBE-GGA) of CePmRhO6 after structural relaxation.

Results
Formation energy without anion corrections, kJ/mol of atoms: -214.4
Uncorrected energy, eV/atom: -7.531
Total magnetic moment, μB/cell: 4.1

CIF file:
```
data_CePmRhO6
_chemical_formula_sum 'Ce2 Pm2 Rh2 O12'
_cell_length_a 5.5428
_cell_length_b 5.5428
_cell_length_c 9.9094
_cell_angle_alpha 90.00
_cell_angle_beta 90.00
_cell_angle_gamma 120.00
_symmetry_space_group_name_H-M 'P -3 1 c'
_symmetry_Int_Tables_number 163
_symmetry_space_group_name_Hall '-P 3 2c'
loop_
_atom_site_label
_atom_site_type_symbol
_atom_site_fract_x
_atom_site_fract_y
_atom_site_fract_z
_atom_site_occupancy
Ce1 Ce 0.3333 0.6667 0.2500 1
Pm1 Pm 0.0000 0.0000 0.0000 1
Rh1 Rh 0.3333 0.6667 0.7500 1
O1 O 0.0355 0.3684 0.6375 1
```



The following is a DFT calculation (PBE-GGA) of CePmRuO6 after structural relaxation.

Results
Formation energy without anion corrections, kJ/mol of atoms: -229.7
Uncorrected energy, eV/atom: -7.904
Total magnetic moment, μB/cell: 6.0

CIF file:
```
data_CePmRuO6
_chemical_formula_sum 'Ce2 Pm2 Ru2 O12'
_cell_length_a 5.5584
_cell_length_b 5.5584
_cell_length_c 9.8575
_cell_angle_alpha 90.00
_cell_angle_beta 90.00
_cell_angle_gamma 120.00
_symmetry_space_group_name_H-M 'P -3 1 c'
_symmetry_Int_Tables_number 163
_symmetry_space_group_name_Hall '-P 3 2c'
loop_
_atom_site_label
_atom_site_type_symbol
_atom_site_fract_x
_atom_site_fract_y
_atom_site_fract_z
_atom_site_occupancy
Ce1 Ce 0.3333 0.6667 0.2500 1
Pm1 Pm 0.0000 0.0000 0.0000 1
Ru1 Ru 0.3333 0.6667 0.7500 1
O1 O 0.0371 0.3704 0.6380 1
```



The following is a DFT calculation (PBE-GGA) of CePmSO2 after structural relaxation.

Results
Formation energy without anion corrections, kJ/mol of atoms: -284.1
Uncorrected energy, eV/atom: -7.891
Total magnetic moment, μB/cell: 2.0

CIF file:
```
data_CePmSO2
_chemical_formula_sum 'Ce2 Pm2 S2 O4'
_cell_length_a 3.881
_cell_length_b 3.881
_cell_length_c 12.290
_cell_angle_alpha 90.00
_cell_angle_beta 90.00
_cell_angle_gamma 90.00
_symmetry_space_group_name_H-M 'I 4 m m'
_symmetry_Int_Tables_number 107
_symmetry_space_group_name_Hall 'I 4 -2'
loop_
_atom_site_label
_atom_site_type_symbol
_atom_site_fract_x
_atom_site_fract_y
_atom_site_fract_z
_atom_site_occupancy
Ce1 Ce 0.000 0.000 0.000 1
Pm1 Pm 0.000 0.000 0.297 1
S1 S 0.000 0.000 0.652 1
O1 O 0.000 0.500 0.399 1
```



The following is a DFT calculation (PBE-GGA) of CePmS2O after structural relaxation.

Results
Formation energy without anion corrections, kJ/mol of atoms: -238.3
Uncorrected energy, eV/atom: -7.249
Total magnetic moment, μB/cell: 1.7

CIF file:
```
data_CePmS2O
_chemical_formula_sum 'Ce2 Pm2 S4 O2'
_cell_length_a 3.989
_cell_length_b 3.989
_cell_length_c 14.013
_cell_angle_alpha 90.00
_cell_angle_beta 90.00
_cell_angle_gamma 90.00
_symmetry_space_group_name_H-M 'P 4/n m m'
_symmetry_Int_Tables_number 129
loop_
_symmetry_equiv_pos_as_xyz
'x,y,z'
'-x,-y,-z'
'-y+1/2,x,z'
'y+1/2,-x,-z'
'-x+1/2,-y+1/2,z'
'x+1/2,y+1/2,-z'
'y,-x+1/2,z'
'-y,x+1/2,-z'
'x+1/2,-y,-z'
'-x+1/2,y,z'
'-y,-x,-z'
'y,x,z'
'-x,y+1/2,-z'
'x,-y+1/2,z'
'y+1/2,x+1/2,-z'
'-y+1/2,-x+1/2,z'
loop_
_atom_site_label
_atom_site_type_symbol
_atom_site_fract_x
_atom_site_fract_y
_atom_site_fract_z
_atom_site_occupancy
Ce1 Ce 0.250 0.250 0.121 1
Pm1 Pm 0.250 0.250 0.585 1
S1 S 0.250 0.250 0.305 1
S2 S 0.250 0.250 0.907 1
O1 O 0.250 0.750 0.500 1
```



The following is a DFT calculation (PBE-GGA) of CePmSb2O8 after structural relaxation.

Results
Formation energy without anion corrections, kJ/mol of atoms: -212.7
Uncorrected energy, eV/atom: -7.088
Total magnetic moment, μB/cell: 1.8

CIF file:
```
data_CePmSb2O8
_chemical_formula_sum 'Ce2 Pm2 Sb4 O16'
_cell_length_a 7.456
_cell_length_b 7.456
_cell_length_c 6.957
_cell_angle_alpha 90.00
_cell_angle_beta 90.00
_cell_angle_gamma 90.00
_symmetry_space_group_name_H-M 'I -4 m 2'
_symmetry_Int_Tables_number 119
_symmetry_space_group_name_Hall 'I -4 -2'
loop_
_atom_site_label
_atom_site_type_symbol
_atom_site_fract_x
_atom_site_fract_y
_atom_site_fract_z
_atom_site_occupancy
Ce1 Ce 0.000 0.000 0.000 1
Pm1 Pm 0.000 0.500 0.250 1
Sb1 Sb 0.000 0.000 0.500 1
Sb2 Sb 0.000 0.500 0.750 1
O1 O 0.000 0.185 0.311 1
O2 O 0.000 0.312 0.942 1
```



The following is a DFT calculation (PBE-GGA) of Ce4Pm2Sb3O2 after structural relaxation.

Results
Formation energy without anion corrections, kJ/mol of atoms: -154.7
Uncorrected energy, eV/atom: -6.650
Total magnetic moment, μB/cell: 8.4

CIF file:
```
data_Ce4Pm2Sb3O2
_chemical_formula_sum 'Ce8 Pm4 Sb6 O4'
_cell_length_a 4.698
_cell_length_b 4.698
_cell_length_c 26.071
_cell_angle_alpha 90.00
_cell_angle_beta 90.00
_cell_angle_gamma 90.00
_symmetry_space_group_name_H-M 'I 4/m m m'
_symmetry_Int_Tables_number 139
_symmetry_space_group_name_Hall '-I 4 2'
loop_
_atom_site_label
_atom_site_type_symbol
_atom_site_fract_x
_atom_site_fract_y
_atom_site_fract_z
_atom_site_occupancy
Ce1 Ce 0.000 0.500 0.084 1
Pm1 Pm 0.000 0.000 0.198 1
Sb1 Sb 0.000 0.000 0.322 1
Sb2 Sb 0.000 0.000 0.500 1
O1 O 0.000 0.000 0.101 1
```



The following is a DFT calculation (PBE-GGA) of CePmSbO6 after structural relaxation.

Results
Formation energy without anion corrections, kJ/mol of atoms: -250.8
Uncorrected energy, eV/atom: -7.550
Total magnetic moment, μB/cell: 0.0

CIF file:
```
data_CePmSbO6
_chemical_formula_sum 'Ce2 Pm2 Sb2 O12'
_cell_length_a 5.6525
_cell_length_b 5.6525
_cell_length_c 9.8234
_cell_angle_alpha 90.00
_cell_angle_beta 90.00
_cell_angle_gamma 120.00
_symmetry_space_group_name_H-M 'P -3 1 c'
_symmetry_Int_Tables_number 163
_symmetry_space_group_name_Hall '-P 3 2c'
loop_
_atom_site_label
_atom_site_type_symbol
_atom_site_fract_x
_atom_site_fract_y
_atom_site_fract_z
_atom_site_occupancy
Ce1 Ce 0.3333 0.6667 0.2500 1
Pm1 Pm 0.0000 0.0000 0.0000 1
Sb1 Sb 0.3333 0.6667 0.7500 1
O1 O 0.0337 0.3682 0.6369 1
```



The following is a DFT calculation (PBE-GGA) of Ce2PmSeO4 after structural relaxation.

Results
Formation energy without anion corrections, kJ/mol of atoms: -306.6
Uncorrected energy, eV/atom: -8.169
Total magnetic moment, μB/cell: 1.1

CIF file:
```
data_Ce2PmSeO4
_chemical_formula_sum 'Ce2 Pm1 Se1 O4'
_cell_length_a 3.938
_cell_length_b 3.938
_cell_length_c 8.993
_cell_angle_alpha 90.00
_cell_angle_beta 90.00
_cell_angle_gamma 90.00
_symmetry_space_group_name_H-M 'P 4/m m m'
_symmetry_Int_Tables_number 123
_symmetry_space_group_name_Hall '-P 4 2'
loop_
_atom_site_label
_atom_site_type_symbol
_atom_site_fract_x
_atom_site_fract_y
_atom_site_fract_z
_atom_site_occupancy
Ce1 Ce 0.000 0.000 0.217 1
Pm1 Pm 0.500 0.500 0.500 1
Se1 Se 0.500 0.500 0.000 1
O1 O 0.000 0.500 0.339 1
```